20
Lattice="5.4594 0.0000 0.0000 2.6969 5.0198 0.0000 0.0763 2.8149 8.7930" Properties=species:S:1:pos:R:3 comment="LiFe7O3F9 (PBE with a Hubbard U, optimized geometry)" final_energy_ry_per_atom=-0.425 m_tot_mub_per_cell=28.034 relative_energy_ev_per_fu=0.00 spacegroup=P1 pbc="T T T"
Li 0.0000 0.0000 0.0000
Fe 2.5672 5.5614 3.0822
Fe 3.0091 4.6379 6.6449
Fe 2.7370 2.1440 1.0625
Fe 2.5938 1.4752 4.3610
Fe 5.5269 6.6881 7.4958
Fe 5.4149 3.1086 2.3409
Fe 5.6082 3.6491 5.3526
O 0.7505 2.3307 4.0118
O 4.7914 5.3938 6.1631
O 3.7253 1.7145 2.7016
F 2.0653 5.9380 8.0295
F 0.7989 1.3229 1.1845
F 1.2864 3.2339 7.1575
F 4.3794 4.6299 3.4206
F 4.4554 3.5234 0.5348
F 3.6678 2.7525 5.7825
F 3.6409 3.4868 8.4118
F 7.2594 5.0041 4.9777
F 7.2988 4.0134 1.7539